1.
Material: BeCuSb2I
Method: DFT, GGA-PBE
State: optimized geometry

abc: 5.083 5.083 5.366
angles: 90.00 90.00 90.00
Positions (direct):
I 0.000 0.000 0.500
Sb 0.000 0.500 0.000
Sb 0.500 0.000 0.000
Cu 0.000 0.000 0.000
Be 0.500 0.500 0.500

ΔE_f (raw): 965 meV per atom
relative energy among the computed polymorphs: 0.2067 eV/atom
symmetry: P4/mmm (123)



2.
Material: Li2SnHg3
Method: DFT, GGA-PBE
State: optimized geometry

abc: 3.439 3.439 10.820
angles: 90.00 90.00 90.00
Positions (direct):
Li 0.500 0.500 0.846
Li 0.500 0.500 0.154
Sn 0.500 0.500 0.500
Hg 0.000 0.000 0.000
Hg 0.000 0.000 0.701
Hg 0.000 0.000 0.299

energy of formation: -0.233 eV per atom
symmetry: P4/mmm (123)



3.
Material: TlTc2P
Method: DFT, GGA-PBE
State: optimized geometry

abc: 3.049 3.049 8.150
angles: 90.00 90.00 117.23
Positions (direct):
Tl 0.500 0.500 0.500
Tc 0.000 0.000 0.200
Tc 0.000 0.000 0.800
P 0.500 0.500 0.000

energy of formation: 0.310 eV per atom
relative energy among the computed polymorphs: 0.2660 eV/atom
symmetry: Cmmm (65)



4.
Material: BeCu3
Method: DFT, GGA-PBE
State: optimized geometry

abc: 4.677 4.677 4.677
angles: 146.17 129.26 62.39
Positions (direct):
Be 0.083 0.000 0.083
Cu 0.583 0.500 0.083
Cu 0.856 0.273 0.584
Cu 0.311 0.727 0.584

energy of formation: -0.021 eV per atom
symmetry: Immm (71)



5.
Material: MgRe3Pb
Method: DFT, GGA-PBE
State: optimized geometry

abc: 4.592 4.592 4.592
angles: 90.00 90.00 90.00
Positions (direct):
Pb 0.500 0.500 0.500
Re 0.000 0.500 0.000
Re 0.000 0.000 0.500
Re 0.500 0.000 0.000
Mg 0.000 0.000 0.000

energy of formation: 2.464 eV per atom
relative energy among the computed polymorphs: 0.0000 eV/atom
symmetry: Pm-3m (221)



6.
Material: Nd3AgPt2
Method: DFT, GGA-PBE
State: optimized geometry

abc: 3.954 4.508 9.007
angles: 90.00 102.68 90.00
Positions (direct):
Nd 0.338 0.000 0.675
Nd 0.662 0.000 0.325
Nd 0.500 0.500 0.000
Ag 0.000 0.000 0.000
Pt 0.130 0.500 0.259
Pt 0.870 0.500 0.741

energy of formation: -0.641 eV per atom
relative energy among the computed polymorphs: 0.1130 eV/atom
symmetry: Cmmm (65)



7.
Material: CaZnSe2
Method: DFT, GGA-PBE
State: optimized geometry

abc: 4.897 4.897 3.599
angles: 90.00 90.00 89.98
Positions (direct):
Zn 0.500 0.000 0.500
Ca 0.000 0.500 0.500
Se 0.000 0.000 0.000
Se 0.500 0.500 0.000

ΔE_f (raw): -805 meV per atom
symmetry: P4/mmm (123)



8.
Material: Na3Se2S6
Method: DFT, GGA-PBE
State: optimized geometry

abc: 5.173 4.266 13.383
angles: 104.21 75.34 98.76
Positions (direct):
Na 0.000 0.000 0.000
Na 0.831 0.635 0.381
Na 0.169 0.365 0.619
Se 0.349 0.230 0.273
Se 0.651 0.770 0.727
S 0.054 0.403 0.844
S 0.665 0.201 0.866
S 0.946 0.597 0.156
S 0.335 0.799 0.134
S 0.622 0.975 0.594
S 0.378 0.025 0.406

ΔE_f (raw): -390 meV per atom
symmetry: P-1 (2)



9.
Material: Fe2AgPt
Method: DFT, GGA-PBE
State: optimized geometry

abc: 2.743 2.743 7.754
angles: 90.00 90.00 90.01
Each line ends with the local moment (μB).
Positions (direct):
Ag 0.500 0.500 0.750  0.01
Fe 0.000 0.000 0.011  2.93
Fe 0.000 0.000 0.489  2.93
Pt 0.500 0.500 0.250  0.35

energy of formation: 0.080 eV per atom
symmetry: P4/mmm (123)



10.
Material: K2H2Pt
Method: DFT, GGA-PBE
State: optimized geometry

abc: 8.462 8.462 2.993
angles: 90.00 90.00 90.00
Positions (direct):
H 0.967 0.467 0.500
H 0.467 0.033 0.500
H 0.033 0.533 0.500
H 0.533 0.967 0.500
K 0.289 0.789 0.000
K 0.789 0.711 0.000
K 0.711 0.211 0.000
K 0.211 0.289 0.000
Pt 0.000 0.000 0.000
Pt 0.500 0.500 0.000

DFT total energy: -2.84 eV/atom
symmetry: P4/mbm (127)



11.
Material: SrCaP2
Method: DFT, GGA-PBE
State: optimized geometry

abc: 3.854 3.854 8.310
angles: 62.43 62.43 90.03
Positions (direct):
Ca 0.250 0.250 0.250
P 0.942 0.942 0.058
P 0.558 0.558 0.442
Sr 0.750 0.750 0.750

energy of formation: -0.813 eV per atom
symmetry: P4/mmm (123)



12.
Material: CaTb2Cu
Method: DFT, GGA-PBE
State: optimized geometry

abc: 3.720 3.720 10.344
angles: 79.64 79.64 60.00
Positions (direct):
Ca 0.500 0.500 0.500
Tb 0.271 0.271 0.187
Tb 0.729 0.729 0.813
Cu 0.000 0.000 0.000

energy of formation: 0.071 eV per atom
relative energy among the computed polymorphs: 0.1138 eV/atom
symmetry: R-3m (166)



These records have magnetic moment values of 0.00, 0.00, 0.00, 0.00, 0.00, 0.00, 0.00, 0.00, 6.17, 0.00, 0.00, 0.00 Bohr magnetons per cell, in the order they appear.
These records have Fermi-level density of states values of 5.17, 1.97, 4.60, 0.75, 9.61, 5.20, 1.81, 5.54, 3.09, 2.59, 1.33, 5.56 states/eV/cell, in the order they appear.